A relaxed structure of AlOsF3, computed with PBE.

Summary:
space-group type	Pm-3m, No. 221
E	-24.22	eV per cell
energy above the lowest structure with this stoichiometry	0.000	eV per atom
energy relative to the elements, uncorrected	-351	kJ/mol of formula units

abc: 4.004 4.004 4.004
angles: 90.00 90.00 90.00
Fractional coordinates of all 5 atoms:
Al  0.000  0.000  0.000
Os  0.500  0.500  0.500
F  0.000  0.000  0.500
F  0.000  0.500  0.000
F  0.500  0.000  0.000


A relaxed structure of Eu2Ti2O5, computed with PBE.

Summary:
space-group type	Imma, No. 74
E	-174.29	eV per cell
energy above the lowest structure with this stoichiometry	0.015	eV per atom
energy relative to the elements, uncorrected	-2510	kJ/mol of formula units

abc: 8.727 8.727 8.727
angles: 142.93 53.62 142.68
Fractional coordinates of all 18 atoms:
Eu  0.122  0.001  0.121
Eu  0.380  0.001  0.379
Eu  0.620  0.999  0.621
Eu  0.878  0.999  0.879
Ti  0.000  0.500  0.500
Ti  0.254  0.504  0.750
Ti  0.500  0.500  0.000
Ti  0.746  0.496  0.250
O  0.072  0.443  0.628
O  0.264  0.000  0.764
O  0.264  0.500  0.264
O  0.315  0.443  0.872
O  0.500  0.000  0.000
O  0.500  0.500  0.500
O  0.685  0.557  0.128
O  0.736  0.000  0.236
O  0.736  0.500  0.736
O  0.928  0.557  0.372


Computed DOS at the Fermi energy, in the same sequence as the records: 1.047; 1.237 states/eV/atom.